Density functional theory data (PBE-GGA) for an optimized crystal structure of La2Dy2Pt3.

Results
E = -44.67 eV per formula unit
theoretical density = 11.0 Mg/m³
volume = 25.5 Å³ per atom
energy of formation from the pure elements = -1069 meV/atom
density of states at the Fermi level = 23.5 states/eV/cell

Cell and atoms, written as CIF:
```
data_La2Dy2Pt3
_chemical_formula_sum 'La8 Dy8 Pt12'
_cell_length_a 8.941
_cell_length_b 8.941
_cell_length_c 8.941
_cell_angle_alpha 90.00
_cell_angle_beta 90.00
_cell_angle_gamma 90.00
_space_group_name_H-M_alt 'I 21 3'
_space_group_IT_number 199
_space_group_name_Hall 'I 2b 2c 3'
loop_
_atom_site_label
_atom_site_fract_x
_atom_site_fract_y
_atom_site_fract_z
La1 0.189 0.189 0.189
Dy1 0.061 0.439 0.561
Pt1 0.000 0.250 0.861
```